[1]
The following is a DFT calculation (PBE) of crystalline MgCuPb2 at its relaxed geometry.

a b c (Å): 7.724 5.132 3.627
angles (deg): 90.07 61.89 125.88
Positions (direct):
Cu  0.000  0.500  0.500
Mg  0.500  0.500  0.000
Pb  0.000  0.000  0.000
Pb  0.500  0.000  0.500

Properties
**Magnetization**: 0.000 μB/f.u.
**Calculated formation energy**: 0.155 eV/atom
**E**: -3.12 eV/atom
**Fermi-level density of states**: 1.31 states/eV/f.u.

[2]
The following is a DFT calculation (PBE) of crystalline Nd7Y3Er at its relaxed geometry.

a b c (Å): 10.324 10.321 12.656
angles (deg): 65.54 114.43 139.05
Positions (direct):
Nd  0.163  0.845  0.275
Nd  0.844  0.162  0.225
Nd  0.579  0.913  0.474
Nd  0.084  0.419  0.472
Nd  0.419  0.084  0.028
Nd  0.710  0.710  0.250
Nd  0.581  0.916  0.972
Nd  0.290  0.290  0.750
Nd  0.837  0.155  0.725
Nd  0.913  0.579  0.027
Nd  0.087  0.421  0.974
Nd  0.421  0.087  0.527
Nd  0.156  0.838  0.775
Nd  0.916  0.581  0.528
Y  0.331  0.672  0.226
Y  0.328  0.669  0.726
Y  0.669  0.329  0.774
Y  0.672  0.331  0.274
Y  0.000  0.000  0.000
Y  0.000  0.000  0.500
Er  0.500  0.500  0.000
Er  0.500  0.500  0.500

Properties
**Magnetization**: 0.000 μB/f.u.
**Calculated formation energy**: 0.184 eV/atom
**Distance to the lowest polymorph of the same formula**: 0 meV/atom
**E**: -5.03 eV/atom
**Fermi-level density of states**: 17.24 states/eV/f.u.

[3]
The following is a DFT calculation (PBE) of crystalline VWC2 at its relaxed geometry.

a b c (Å): 3.770 3.770 3.770
angles (deg): 60.00 60.00 60.00
Positions (direct):
V  0.000  0.000  0.000
C  0.750  0.750  0.750
C  0.250  0.250  0.250
W  0.500  0.500  0.500

Properties
**Magnetization**: 0.000 μB/f.u.
**Calculated formation energy**: 0.552 eV/atom
**Distance to the lowest polymorph of the same formula**: 651 meV/atom
**E**: -9.58 eV/atom
**Fermi-level density of states**: 2.34 states/eV/f.u.